Er2Th4Sc3 PBE-GGA optimized geometry; total moment = 0.00 μB per cell; DFT formation energy = 0.12 eV per atom
1.0
7.8243 -5.7168 0.0000
7.8243 5.7168 0.0000
-0.8071 0.0000 5.9051
Er Th Sc
4 8 6
direct
0.0883 0.3558 0.3460
0.3558 0.0883 0.8460
0.6442 0.9117 0.1540
0.9117 0.6442 0.6540
0.0211 0.7572 0.1907
0.2428 0.9789 0.3093
0.3126 0.5782 0.4816
0.4218 0.6874 0.0184
0.5782 0.3126 0.9816
0.6874 0.4218 0.5184
0.7572 0.0211 0.6907
0.9789 0.2428 0.8093
0.1131 0.8869 0.7500
0.2204 0.4493 0.9209
0.4493 0.2204 0.4209
0.5507 0.7796 0.5791
0.7796 0.5507 0.0791
0.8869 0.1131 0.2500

***

PuSnPb2 PBE-GGA optimized geometry; total moment = 24.52 μB per cell; DFT formation energy = 0.06 eV per atom; distance to the lowest polymorph of the same formula = 264 meV per atom
1.0
7.7900 0.0000 0.0000
0.0000 7.7900 0.0000
0.0000 0.0000 7.7900
Pu Sn Pb
4 4 8
direct
0.0000 0.0000 0.0000
0.0000 0.5000 0.5000
0.5000 0.0000 0.5000
0.5000 0.5000 0.0000
0.0000 0.0000 0.5000
0.0000 0.5000 0.0000
0.5000 0.0000 0.0000
0.5000 0.5000 0.5000
0.2500 0.2500 0.2500
0.2500 0.2500 0.7500
0.2500 0.7500 0.2500
0.2500 0.7500 0.7500
0.7500 0.2500 0.2500
0.7500 0.2500 0.7500
0.7500 0.7500 0.2500
0.7500 0.7500 0.7500

***

AlCo3Pt PBE-GGA optimized geometry; total moment = 6.33 μB per cell; DFT formation energy = 1.18 eV per atom; distance to the lowest polymorph of the same formula = 211 meV per atom
1.0
4.5936 0.0000 0.0000
0.0000 4.5936 0.0000
0.0000 0.0000 4.5936
Al Co Pt
1 3 1
direct
0.0000 0.0000 0.0000
0.0000 0.5000 0.5000
0.5000 0.0000 0.5000
0.5000 0.5000 0.0000
0.5000 0.5000 0.5000

***

GaCo3H PBE-GGA optimized geometry; total moment = 6.94 μB per cell; distance to the lowest polymorph of the same formula = 483 meV per atom
1.0
3.5380 0.0000 0.0000
-1.7690 3.0640 0.0000
0.0000 0.0000 10.7304
Ga Co H
2 6 2
direct
0.0000 0.0000 0.0000
0.0000 0.0000 0.5000
0.0000 0.0000 0.2500
0.0000 0.0000 0.7500
0.3333 0.6667 0.1054
0.3333 0.6667 0.3946
0.6667 0.3333 0.6054
0.6667 0.3333 0.8946
0.3333 0.6667 0.2500
0.6667 0.3333 0.7500

***

MgSeBr3 PBE-GGA optimized geometry; formation energy (no corrections) = -1.026 kcal/mol of atoms; total moment = 0.44 μB per cell; distance to the lowest polymorph of the same formula = 316 meV per atom
1.0
5.4241 0.0000 0.0000
0.0000 5.4241 0.0000
0.0000 0.0000 5.4241
Mg Se Br
1 1 3
direct
0.0000 0.0000 0.0000
0.5000 0.5000 0.5000
0.0000 0.5000 0.5000
0.5000 0.0000 0.5000
0.5000 0.5000 0.0000